# 1
HgBPt3, optimized geometry, DFT PBE; energy of formation from the pure elements = -9 kJ per mole of atoms; crystal system = hexagonal; mass density = 17.0 g cm⁻³; relative energy among the computed polymorphs = 57 kJ/mol of formula units
1.0
5.7513 0.0000 0.0000
-2.8756 4.9808 0.0000
0.0000 0.0000 5.4272
Hg B Pt
2 2 6
direct
0.3333 0.6667 0.2500
0.6667 0.3333 0.7500
0.0000 0.0000 0.0000
0.0000 0.0000 0.5000
0.1694 0.3387 0.7500
0.1694 0.8306 0.7500
0.3387 0.1694 0.2500
0.6613 0.8306 0.7500
0.8306 0.1694 0.2500
0.8306 0.6613 0.2500


# 2
HgBPt3, optimized geometry, DFT PBE; energy of formation from the pure elements = -3 kJ per mole of atoms; crystal system = orthorhombic; mass density = 16.0 g cm⁻³; relative energy among the computed polymorphs = 84 kJ/mol of formula units
1.0
2.8254 0.0000 0.0000
0.0000 3.6113 4.0511
0.0000 -3.6113 4.0511
Hg B Pt
1 1 3
direct
0.0000 0.0000 0.0000
0.5000 0.6050 0.6050
0.0000 0.5089 0.9012
0.0000 0.9012 0.5089
0.5000 0.3542 0.3542


# 3
HgBPt3, optimized geometry, DFT PBE; energy of formation from the pure elements = 1 kJ per mole of atoms; crystal system = monoclinic; mass density = 16.0 g cm⁻³; relative energy among the computed polymorphs = 106 kJ/mol of formula units
1.0
4.9069 0.0000 0.0000
0.0000 5.6399 0.0000
-0.7703 0.0000 5.9835
Hg B Pt
2 2 6
direct
0.2086 0.2500 0.2340
0.7914 0.7500 0.7660
0.2482 0.7500 0.5476
0.7518 0.2500 0.4524
0.2114 0.7500 0.2212
0.2944 0.0041 0.7876
0.2944 0.4959 0.7876
0.7056 0.5041 0.2124
0.7056 0.9959 0.2124
0.7886 0.2500 0.7788


# 4
HgBPt3, optimized geometry, DFT PBE; energy of formation from the pure elements = -7 kJ per mole of atoms; crystal system = monoclinic; mass density = 16.2 g cm⁻³; relative energy among the computed polymorphs = 67 kJ/mol of formula units
1.0
6.0337 -1.9492 0.0000
6.0337 1.9492 0.0000
-1.2897 0.0000 6.9464
Hg B Pt
2 2 6
direct
0.1202 0.1202 0.4747
0.8798 0.8798 0.5253
0.2445 0.2445 0.9096
0.7555 0.7555 0.0904
0.0673 0.0673 0.8543
0.2793 0.2793 0.2220
0.4018 0.4018 0.8330
0.5982 0.5982 0.1670
0.7207 0.7207 0.7780
0.9327 0.9327 0.1457


# 5
HgBPt3, optimized geometry, DFT PBE; energy of formation from the pure elements = -7 kJ per mole of atoms; crystal system = orthorhombic; mass density = 15.7 g cm⁻³; relative energy among the computed polymorphs = 64 kJ/mol of formula units
1.0
-2.8102 5.2712 5.6932
2.8102 -5.2712 5.6932
2.8102 5.2712 -5.6932
Hg B Pt
4 4 12
direct
0.2113 0.1211 0.0902
0.4692 0.8789 0.5902
0.5308 0.1211 0.4098
0.7887 0.8789 0.9098
0.0663 0.8163 0.2500
0.3568 0.6068 0.7500
0.6432 0.3932 0.2500
0.9337 0.1837 0.7500
0.1406 0.0000 0.6406
0.1406 0.5000 0.1406
0.1741 0.6110 0.5631
0.2097 0.2184 0.5087
0.2097 0.7010 0.9913
0.4521 0.3890 0.0631
0.5479 0.6110 0.9369
0.7903 0.2990 0.0087
0.7903 0.7816 0.4913
0.8259 0.3890 0.4369
0.8594 0.0000 0.3594
0.8594 0.5000 0.8594


# 6
HgBPt4, optimized geometry, DFT PBE; energy of formation from the pure elements = -9 kJ per mole of atoms; crystal system = monoclinic; mass density = 17.1 g cm⁻³; relative energy among the computed polymorphs = 16 kJ/mol of formula units
1.0
5.3161 -2.8173 0.0000
5.3161 2.8173 0.0000
-0.3177 0.0000 6.4166
Hg B Pt
2 2 8
direct
0.1976 0.1976 0.3136
0.8024 0.8024 0.6864
0.4965 0.4965 0.2449
0.5035 0.5035 0.7551
0.1270 0.6426 0.0918
0.2473 0.7527 0.5000
0.3086 0.3086 0.7269
0.3574 0.8730 0.9082
0.6426 0.1270 0.0918
0.6914 0.6914 0.2731
0.7527 0.2473 0.5000
0.8730 0.3574 0.9082


# 7
HgBPt3, optimized geometry, DFT PBE; energy of formation from the pure elements = 26 kJ per mole of atoms; crystal system = hexagonal; mass density = 17.4 g cm⁻³; relative energy among the computed polymorphs = 230 kJ/mol of formula units
1.0
4.4975 0.0000 0.0000
-2.2488 3.8950 0.0000
0.0000 0.0000 8.6911
Hg B Pt
2 2 6
direct
0.3333 0.6667 0.2500
0.6667 0.3333 0.7500
0.0000 0.0000 0.0000
0.0000 0.0000 0.5000
0.0000 0.0000 0.2500
0.0000 0.0000 0.7500
0.3333 0.6667 0.5711
0.3333 0.6667 0.9289
0.6667 0.3333 0.0711
0.6667 0.3333 0.4289


# 8
HgBPt3, optimized geometry, DFT PBE; energy of formation from the pure elements = 1 kJ per mole of atoms; crystal system = orthorhombic; mass density = 16.2 g cm⁻³; relative energy among the computed polymorphs = 107 kJ/mol of formula units
1.0
5.3018 0.0000 0.0000
0.0000 7.5019 0.0000
0.0000 0.0000 8.1954
Hg B Pt
4 4 12
direct
0.0000 0.0000 0.0000
0.0000 0.5000 0.0000
0.5000 0.0000 0.5000
0.5000 0.5000 0.5000
0.0016 0.2500 0.4680
0.4984 0.7500 0.9680
0.5016 0.2500 0.0320
0.9984 0.7500 0.5320
0.0031 0.0674 0.6585
0.0031 0.4326 0.6585
0.2250 0.7500 0.7775
0.2750 0.2500 0.2775
0.4969 0.5674 0.1585
0.4969 0.9326 0.1585
0.5031 0.0674 0.8415
0.5031 0.4326 0.8415
0.7250 0.7500 0.7225
0.7750 0.2500 0.2225
0.9969 0.5674 0.3415
0.9969 0.9326 0.3415


Q: The highest energy of formation from the pure elements belongs to which entry?
A: number 7


Q: Which value of mass density does entry 7 give?
A: 17.4 g cm⁻³


Please write out number 3 again, unchanged.
HgBPt3, optimized geometry, DFT PBE; energy of formation from the pure elements = 1 kJ per mole of atoms; crystal system = monoclinic; mass density = 16.0 g cm⁻³; relative energy among the computed polymorphs = 106 kJ/mol of formula units
1.0
4.9069 0.0000 0.0000
0.0000 5.6399 0.0000
-0.7703 0.0000 5.9835
Hg B Pt
2 2 6
direct
0.2086 0.2500 0.2340
0.7914 0.7500 0.7660
0.2482 0.7500 0.5476
0.7518 0.2500 0.4524
0.2114 0.7500 0.2212
0.2944 0.0041 0.7876
0.2944 0.4959 0.7876
0.7056 0.5041 0.2124
0.7056 0.9959 0.2124
0.7886 0.2500 0.7788